Record 1
5
Lattice="-3.920 -1.166 0.266 0.398 -2.133 -3.477 0.901 -9.443 3.480" Properties=species:S:1:pos:R:3 comment="Ba2AgAs2, relaxed, DFT GGA-PBE" spacegroup="I4/mmm, No. 139" crystal_system=tetragonal e_above_lowest_polymorph_mev_per_atom=414 m_tot_mub_per_fu=0.0 mass_density_kg_m3=5438 formation_enthalpy_0k_ev_per_atom=-0.43 pbc="T T T"
As -2.390 -6.129 1.071
As -0.231 -6.612 -0.801
Ba -1.149 -3.440 -0.436
Ba -1.471 -9.301 0.706
Ag 0.000 0.000 0.000

=====

Record 2
6
Lattice="-5.548 -3.487 -0.614 2.810 -5.030 3.180 -1.624 1.823 4.319" Properties=species:S:1:pos:R:3 comment="BaAgAs, relaxed, DFT GGA-PBE" spacegroup="P4/nmm, No. 129" crystal_system=tetragonal m_tot_mub_per_fu=0.0 mass_density_kg_m3=4948 formation_enthalpy_0k_ev_per_atom=-0.52 pbc="T T T"
Ag -2.982 -1.509 0.248
Ag -0.010 -0.926 5.354
As -3.804 -0.587 2.433
As 0.811 -1.849 3.169
Ba -0.812 0.912 2.160
Ba -2.181 -3.347 3.443